# 1
The following is a DFT calculation (PBE-GGA) of a relaxed FeCuOsCl2 crystal. Values from VASP.

## Properties
SG: No. 123
M_tot in μB/cell: 6.55
DOS at the Fermi energy in states/eV/atom: 1.43
Uncorrected formation energy in meV per atom: 1336

```
&SYSTEM
  ibrav = 0, nat = 5, ntyp = 4
/
ATOMIC_SPECIES
Os 190.23 Os.upf
Fe 55.84 Fe.upf
Cu 63.55 Cu.upf
Cl 35.45 Cl.upf
ATOMIC_POSITIONS angstrom
Os 0.185 -2.393 0.989
Fe 1.114 -1.192 3.723
Cu 0.000 0.000 0.000
Cl 1.954 0.521 0.896
Cl -1.024 0.680 1.838
CELL_PARAMETERS angstrom
-2.049 1.361 3.677
0.370 -4.786 1.977
3.908 1.042 1.792
```


# 2
The following is a DFT calculation (PBE-GGA) of a relaxed Rb3Fe2CuCl9 crystal. Values from VASP.

## Properties
SG: No. 164
M_tot in μB/cell: 8.78
DOS at the Fermi energy in states/eV/atom: 0.71
Uncorrected formation energy in meV per atom: -1183

```
&SYSTEM
  ibrav = 0, nat = 15, ntyp = 4
/
ATOMIC_SPECIES
Rb 85.47 Rb.upf
Fe 55.84 Fe.upf
Cu 63.55 Cu.upf
Cl 35.45 Cl.upf
ATOMIC_POSITIONS angstrom
Rb 0.000 4.063 5.730
Rb 0.000 0.000 0.000
Rb 3.518 2.031 2.897
Fe 0.000 4.063 1.506
Fe 3.518 2.031 7.120
Cu 0.000 0.000 4.313
Cl 5.255 1.029 5.789
Cl 3.518 4.037 5.789
Cl 1.782 1.029 5.789
Cl 1.737 5.065 2.837
Cl 0.000 2.057 2.837
Cl -1.737 5.065 2.837
Cl 3.518 0.000 0.000
Cl -1.759 3.047 0.000
Cl 1.759 3.047 0.000
CELL_PARAMETERS angstrom
7.036 0.000 0.000
-3.518 6.094 0.000
0.000 0.000 8.626
```


# 3
The following is a DFT calculation (PBE-GGA) of a relaxed Rb2FeCuCl crystal. Values from VASP.

## Properties
SG: No. 123
M_tot in μB/cell: 2.93
DOS at the Fermi energy in states/eV/atom: 1.01
Uncorrected formation energy in meV per atom: 151

```
&SYSTEM
  ibrav = 0, nat = 5, ntyp = 4
/
ATOMIC_SPECIES
Cl 35.45 Cl.upf
Cu 63.55 Cu.upf
Rb 85.47 Rb.upf
Fe 55.84 Fe.upf
ATOMIC_POSITIONS angstrom
Cl 3.217 2.265 3.217
Cu 0.000 2.265 0.000
Rb 0.000 0.000 3.217
Rb 3.217 0.000 0.000
Fe 0.000 0.000 0.000
CELL_PARAMETERS angstrom
6.434 0.000 0.000
0.000 4.531 0.000
0.000 0.000 6.434
```


# 4
The following is a DFT calculation (PBE-GGA) of a relaxed RbFeCuCl6 crystal. Values from VASP.

## Properties
SG: No. 149
M_tot in μB/cell: 2.01
DOS at the Fermi energy in states/eV/atom: 0.87
Uncorrected formation energy in meV per atom: -860

```
&SYSTEM
  ibrav = 0, nat = 9, ntyp = 4
/
ATOMIC_SPECIES
Rb 85.47 Rb.upf
Fe 55.84 Fe.upf
Cu 63.55 Cu.upf
Cl 35.45 Cl.upf
ATOMIC_POSITIONS angstrom
Rb 3.119 5.401 7.359
Fe 3.119 1.800 3.680
Cu 6.238 3.601 3.679
Cl 1.260 1.929 2.378
Cl 2.301 0.126 4.981
Cl 4.977 1.929 4.981
Cl 2.078 3.345 4.982
Cl 4.159 3.346 2.378
Cl 3.937 0.127 2.377
CELL_PARAMETERS angstrom
6.237 0.000 0.000
3.119 5.401 0.000
0.000 -0.001 7.359
```


# 5
The following is a DFT calculation (PBE-GGA) of a relaxed RbFe2CuCl8 crystal. Values from VASP.

## Properties
SG: No. 12
M_tot in μB/cell: 10.00
Uncorrected formation energy in meV per atom: -945

```
&SYSTEM
  ibrav = 0, nat = 12, ntyp = 4
/
ATOMIC_SPECIES
Rb 85.47 Rb.upf
Fe 55.84 Fe.upf
Cu 63.55 Cu.upf
Cl 35.45 Cl.upf
ATOMIC_POSITIONS angstrom
Rb 0.751 -2.923 3.709
Fe -5.420 -3.924 1.780
Fe -2.396 -6.308 6.006
Cu 0.000 0.000 0.000
Cl -4.113 -5.634 7.262
Cl -7.143 -3.495 0.433
Cl -5.786 -5.447 3.335
Cl -2.030 -4.786 4.451
Cl -0.673 -6.737 7.354
Cl -2.988 -8.211 5.003
Cl -4.828 -2.021 2.783
Cl -3.703 -4.599 0.524
CELL_PARAMETERS angstrom
-5.784 0.386 2.444
-3.533 -4.773 -2.076
1.502 -5.845 7.418
```


# 6
The following is a DFT calculation (PBE-GGA) of a relaxed FeCu2SeCl crystal. Values from VASP.

## Properties
SG: No. 123
M_tot in μB/cell: 3.17
DOS at the Fermi energy in states/eV/atom: 0.75
Uncorrected formation energy in meV per atom: 675

```
&SYSTEM
  ibrav = 0, nat = 5, ntyp = 4
/
ATOMIC_SPECIES
Cl 35.45 Cl.upf
Cu 63.55 Cu.upf
Se 78.96 Se.upf
Fe 55.84 Fe.upf
ATOMIC_POSITIONS angstrom
Cl -1.587 0.139 1.302
Cu -1.484 -0.787 -1.725
Cu -0.382 2.270 -0.707
Se -3.453 1.621 -1.130
Fe 0.000 0.000 0.000
CELL_PARAMETERS angstrom
-0.764 4.540 -1.415
-2.968 -1.575 -3.450
-3.173 0.277 2.604
```


# 7
The following is a DFT calculation (PBE-GGA) of a relaxed Fe2CuTcCl crystal. Values from VASP.

## Properties
SG: No. 123
M_tot in μB/cell: 5.25
DOS at the Fermi energy in states/eV/atom: 1.63
Uncorrected formation energy in meV per atom: 1333

```
&SYSTEM
  ibrav = 0, nat = 5, ntyp = 4
/
ATOMIC_SPECIES
Cl 35.45 Cl.upf
Tc 98.00 Tc.upf
Cu 63.55 Cu.upf
Fe 55.84 Fe.upf
ATOMIC_POSITIONS angstrom
Cl 1.425 0.475 -1.695
Tc 0.000 0.000 0.000
Cu 2.979 -2.358 -1.182
Fe 1.783 -0.674 1.311
Fe -0.229 -2.159 -0.798
CELL_PARAMETERS angstrom
-0.458 -4.318 -1.596
2.850 0.951 -3.390
3.567 -1.348 2.621
```


# 8
The following is a DFT calculation (PBE-GGA) of a relaxed TlFeCuCl5 crystal. Values from VASP.

## Properties
SG: No. 15
M_tot in μB/cell: 10.03
DOS at the Fermi energy in states/eV/atom: 0.26
Uncorrected formation energy in meV per atom: -773

```
&SYSTEM
  ibrav = 0, nat = 16, ntyp = 4
/
ATOMIC_SPECIES
Tl 204.38 Tl.upf
Fe 55.84 Fe.upf
Cu 63.55 Cu.upf
Cl 35.45 Cl.upf
ATOMIC_POSITIONS angstrom
Tl 0.780 4.204 2.346
Tl 2.866 0.720 6.237
Fe 4.119 1.732 2.346
Fe -0.473 3.192 6.237
Cu -0.928 -1.253 3.891
Cu 0.000 0.000 0.000
Cl -1.829 6.135 2.346
Cl 5.475 -1.211 6.237
Cl 6.105 2.153 1.408
Cl -2.459 2.771 7.174
Cl 4.296 -0.290 3.283
Cl -0.650 5.214 5.299
Cl 3.609 3.200 3.936
Cl 0.037 1.725 4.647
Cl 2.566 1.791 0.756
Cl 1.079 3.133 7.827
CELL_PARAMETERS angstrom
7.515 0.188 0.400
-2.014 7.242 0.400
-1.855 -2.506 7.782
```


# 9
The following is a DFT calculation (PBE-GGA) of a relaxed Tl3FeCu2Cl9 crystal. Values from VASP.

## Properties
SG: No. 164
M_tot in μB/cell: 3.59
DOS at the Fermi energy in states/eV/atom: 0.31
Uncorrected formation energy in meV per atom: -759

```
&SYSTEM
  ibrav = 0, nat = 15, ntyp = 4
/
ATOMIC_SPECIES
Tl 204.38 Tl.upf
Fe 55.84 Fe.upf
Cu 63.55 Cu.upf
Cl 35.45 Cl.upf
ATOMIC_POSITIONS angstrom
Tl 6.766 -0.231 1.939
Tl 0.000 0.000 0.000
Tl 2.695 -3.166 2.497
Fe 2.819 1.100 2.991
Cu 3.825 -1.378 -1.181
Cu 5.636 -2.019 5.617
Cl 3.594 -3.500 5.929
Cl 6.121 -3.288 3.469
Cl 4.178 -0.444 4.255
Cl 5.282 -2.953 0.181
Cl 3.340 -0.109 0.967
Cl 5.867 0.102 -1.493
Cl -0.575 -3.006 1.647
Cl 2.486 0.208 -2.420
Cl 1.911 -2.798 -0.773
CELL_PARAMETERS angstrom
-1.150 -6.012 3.294
4.972 0.416 -4.840
5.638 2.199 5.981
```


# 10
The following is a DFT calculation (PBE-GGA) of a relaxed TlFeCu2Cl6 crystal. Values from VASP.

## Properties
SG: No. 15
M_tot in μB/cell: 10.05
DOS at the Fermi energy in states/eV/atom: 0.01
Uncorrected formation energy in meV per atom: -697

```
&SYSTEM
  ibrav = 0, nat = 20, ntyp = 4
/
ATOMIC_SPECIES
Tl 204.38 Tl.upf
Fe 55.84 Fe.upf
Cu 63.55 Cu.upf
Cl 35.45 Cl.upf
ATOMIC_POSITIONS angstrom
Tl -3.044 -7.857 2.012
Tl -10.425 -4.372 1.454
Fe -7.760 -2.274 3.389
Fe -5.710 -9.956 0.077
Cu -6.886 -7.403 3.663
Cu -3.112 -3.683 1.503
Cu -6.583 -4.826 -0.196
Cu -10.358 -8.546 1.964
Cl -7.395 -8.813 5.597
Cl -2.124 -2.840 -0.570
Cl -6.074 -3.417 -2.130
Cl -11.345 -9.389 4.037
Cl -5.944 -9.016 2.097
Cl -1.393 -5.220 2.292
Cl -7.525 -3.213 1.369
Cl -12.076 -7.009 1.175
Cl -4.934 -6.488 4.370
Cl -4.531 -5.228 0.641
Cl -8.535 -5.742 -0.903
Cl -8.938 -7.001 2.826
CELL_PARAMETERS angstrom
-5.639 -3.830 -3.780
-0.111 -8.704 2.512
-7.719 0.305 4.734
```


# 11
The following is a DFT calculation (PBE-GGA) of a relaxed Tl3FeCu2Cl8 crystal. Values from VASP.

## Properties
SG: No. 164
M_tot in μB/cell: 4.87
DOS at the Fermi energy in states/eV/atom: 0.48
Uncorrected formation energy in meV per atom: -757

```
&SYSTEM
  ibrav = 0, nat = 14, ntyp = 4
/
ATOMIC_SPECIES
Tl 204.38 Tl.upf
Fe 55.84 Fe.upf
Cu 63.55 Cu.upf
Cl 35.45 Cl.upf
ATOMIC_POSITIONS angstrom
Tl 0.000 4.082 5.795
Tl 3.535 2.041 3.081
Tl 0.000 0.000 0.000
Fe 0.000 0.000 4.438
Cu 0.000 4.082 2.051
Cu 3.535 2.041 6.826
Cl 0.000 4.082 8.713
Cl 3.535 2.041 0.164
Cl -1.855 5.153 2.959
Cl 5.390 0.970 5.917
Cl 0.000 1.939 2.959
Cl 3.535 4.183 5.917
Cl 1.855 5.153 2.959
Cl 1.680 0.970 5.917
CELL_PARAMETERS angstrom
7.070 0.000 0.000
-3.535 6.123 0.000
0.000 0.000 8.876
```


# 12
The following is a DFT calculation (PBE-GGA) of a relaxed TlFe2CuCl6 crystal. Values from VASP.

## Properties
SG: No. 15
M_tot in μB/cell: 16.00
DOS at the Fermi energy in states/eV/atom: 1.05
Uncorrected formation energy in meV per atom: -682

```
&SYSTEM
  ibrav = 0, nat = 20, ntyp = 4
/
ATOMIC_SPECIES
Tl 204.38 Tl.upf
Fe 55.84 Fe.upf
Cu 63.55 Cu.upf
Cl 35.45 Cl.upf
ATOMIC_POSITIONS angstrom
Tl 4.226 7.958 0.839
Tl 7.896 0.562 8.003
Fe 5.672 6.571 5.354
Fe 2.780 3.395 2.058
Fe 6.450 1.949 3.488
Fe 9.342 5.125 6.784
Cu 4.226 1.484 7.078
Cu 7.896 7.037 1.764
Cl 5.717 8.296 6.887
Cl 2.734 1.927 0.278
Cl 6.404 0.225 1.955
Cl 9.387 6.593 8.564
Cl 6.223 7.309 3.254
Cl 2.228 5.521 1.399
Cl 5.899 1.212 5.588
Cl 9.893 2.999 7.443
Cl 3.441 5.944 5.171
Cl 5.011 3.555 2.692
Cl 8.681 2.577 3.671
Cl 7.111 4.966 6.150
CELL_PARAMETERS angstrom
7.340 0.036 0.038
2.391 9.089 -0.269
2.391 -0.605 9.073
```


Copy entry 8 word for word.
The following is a DFT calculation (PBE-GGA) of a relaxed TlFeCuCl5 crystal. Values from VASP.

## Properties
SG: No. 15
M_tot in μB/cell: 10.03
DOS at the Fermi energy in states/eV/atom: 0.26
Uncorrected formation energy in meV per atom: -773

```
&SYSTEM
  ibrav = 0, nat = 16, ntyp = 4
/
ATOMIC_SPECIES
Tl 204.38 Tl.upf
Fe 55.84 Fe.upf
Cu 63.55 Cu.upf
Cl 35.45 Cl.upf
ATOMIC_POSITIONS angstrom
Tl 0.780 4.204 2.346
Tl 2.866 0.720 6.237
Fe 4.119 1.732 2.346
Fe -0.473 3.192 6.237
Cu -0.928 -1.253 3.891
Cu 0.000 0.000 0.000
Cl -1.829 6.135 2.346
Cl 5.475 -1.211 6.237
Cl 6.105 2.153 1.408
Cl -2.459 2.771 7.174
Cl 4.296 -0.290 3.283
Cl -0.650 5.214 5.299
Cl 3.609 3.200 3.936
Cl 0.037 1.725 4.647
Cl 2.566 1.791 0.756
Cl 1.079 3.133 7.827
CELL_PARAMETERS angstrom
7.515 0.188 0.400
-2.014 7.242 0.400
-1.855 -2.506 7.782
```


Q: Among the records above, which one has the highest M_tot?
A: TlFe2CuCl6


Q: M_tot of number 10 (TlFeCu2Cl6)?
A: 10.05 μB/cell